# 1
The following is a DFT calculation (GGA-PBE) of a relaxed TmNp2Ir9 crystal.

a b c (Å): 9.302 9.302 9.302
angles (deg): 32.92 32.92 32.92
Fractional positions:
Tm 0.000 0.000 0.000
Np 0.140 0.140 0.140
Np 0.860 0.860 0.860
Ir 0.081 0.584 0.584
Ir 0.333 0.333 0.333
Ir 0.416 0.416 0.919
Ir 0.416 0.919 0.416
Ir 0.500 0.500 0.500
Ir 0.584 0.081 0.584
Ir 0.584 0.584 0.081
Ir 0.667 0.667 0.667
Ir 0.919 0.416 0.416

Results
**Theoretical density**: 18.629 g cm⁻³
**Crystal system**: trigonal
**Space group**: R-3m (166)
**E_form**: -39 kJ per mole of atoms

=====

# 2
The following is a DFT calculation (GGA-PBE) of a relaxed ZnMoIr crystal.

a b c (Å): 4.312 4.312 2.745
angles (deg): 90.00 90.00 120.00
Fractional positions:
Zn 0.000 0.000 0.000
Mo 0.333 0.667 0.500
Ir 0.667 0.333 0.000

Results
**Theoretical density**: 13.286 g cm⁻³
**Relative energy among the computed polymorphs**: 0.0882 eV/atom
**Crystal system**: hexagonal
**Space group**: P-6m2 (187)
**E_form**: -10 kJ per mole of atoms

=====

# 3
The following is a DFT calculation (GGA-PBE) of a relaxed V5Ga4C crystal.

a b c (Å): 6.129 6.129 6.129
angles (deg): 96.20 96.20 141.62
Fractional positions:
V 0.000 0.000 0.000
V 0.322 0.322 0.643
V 0.322 0.678 0.000
V 0.678 0.322 0.000
V 0.678 0.678 0.357
Ga 0.000 0.319 0.319
Ga 0.000 0.681 0.681
Ga 0.319 0.000 0.319
Ga 0.681 0.000 0.681
C 0.500 0.500 0.000

Results
**Theoretical density**: 6.710 g cm⁻³
**Crystal system**: tetragonal
**Space group**: I4/mmm (139)
**E_form**: -20 kJ per mole of atoms

=====

# 4
The following is a DFT calculation (GGA-PBE) of a relaxed Ho2SiB2Ru5 crystal.

a b c (Å): 9.488 9.488 3.078
angles (deg): 90.00 90.00 90.00
Fractional positions:
Ho 0.176 0.324 0.000
Ho 0.324 0.824 0.000
Ho 0.676 0.176 0.000
Ho 0.824 0.676 0.000
Si 0.000 0.000 0.000
Si 0.500 0.500 0.000
B 0.124 0.624 0.000
B 0.376 0.124 0.000
B 0.624 0.876 0.000
B 0.876 0.376 0.000
Ru 0.000 0.500 0.500
Ru 0.068 0.788 0.500
Ru 0.212 0.068 0.500
Ru 0.288 0.568 0.500
Ru 0.432 0.288 0.500
Ru 0.500 0.000 0.500
Ru 0.568 0.712 0.500
Ru 0.712 0.432 0.500
Ru 0.788 0.932 0.500
Ru 0.932 0.212 0.500

Results
**Theoretical density**: 10.605 g cm⁻³
**Raw total energy**: -7.993 eV/atom
**Crystal system**: tetragonal
**Space group**: P4/mbm (127)

=====

# 5
The following is a DFT calculation (GGA-PBE) of a relaxed ZnCuSe2N crystal.

a b c (Å): 5.055 5.055 3.518
angles (deg): 90.00 90.00 90.00
Fractional positions:
Zn 0.000 0.000 0.000
Cu 0.500 0.500 0.500
Se 0.000 0.500 0.500
Se 0.500 0.000 0.500
N 0.500 0.500 0.000

Results
**Theoretical density**: 5.557 g cm⁻³
**Relative energy among the computed polymorphs**: 0.0000 eV/atom
**Crystal system**: tetragonal
**Space group**: P4/mmm (123)

=====

# 6
The following is a DFT calculation (GGA-PBE) of a relaxed Ac4SiAuBr2 crystal.

a b c (Å): 7.901 4.510 8.189
angles (deg): 90.00 108.52 90.00
Fractional positions:
Ac 0.217 0.000 0.239
Ac 0.224 0.500 0.734
Ac 0.776 0.500 0.266
Ac 0.783 0.000 0.761
Si 0.000 0.000 0.500
Au 0.000 0.500 0.000
Br 0.500 0.000 0.000
Br 0.500 0.500 0.500

Results
**Theoretical density**: 7.759 g cm⁻³
**Raw total energy**: -4.581 eV/atom
**Crystal system**: monoclinic
**Space group**: P2/m (10)